The following is a DFT calculation (PBE) of an optimized crystal structure of Sm6Pt2Se3Br.

Cell lengths 4.101, 8.626, 9.530 Å; angles 104.46, 102.43, 90.00 degrees
Fractional coordinates of all 12 atoms:
Sm: 0.324 0.889 0.648
Sm: 0.669 0.578 0.337
Sm: 0.676 0.111 0.352
Sm: 0.008 0.274 0.017
Sm: 0.992 0.726 0.983
Sm: 0.331 0.422 0.663
Pt: 0.832 0.662 0.664
Pt: 0.168 0.338 0.336
Se: 0.500 0.500 0.000
Se: 0.842 0.158 0.684
Se: 0.158 0.842 0.316
Br: 0.500 0.000 0.000

N(E_F): 7.74 states/eV per cell
total moment: 0.0 μB per formula unit
uncorrected formation energy: -142.60 kJ/mol of atoms
space-group type: C2/m

***

The following is a DFT calculation (PBE) of an optimized crystal structure of Tb3Sm8Th2.

Cell lengths 12.557, 6.157, 21.956 Å; angles 79.73, 94.22, 147.23 degrees
Fractional coordinates of all 26 atoms:
Tb: 0.440 0.561 0.283
Tb: 0.500 0.000 0.500
Tb: 0.046 0.425 0.711
Tb: 0.954 0.575 0.289
Tb: 0.000 0.000 0.000
Tb: 0.560 0.439 0.717
Sm: 0.621 0.635 0.074
Sm: 0.663 0.841 0.424
Sm: 0.164 0.081 0.783
Sm: 0.755 0.672 0.865
Sm: 0.327 0.907 0.215
Sm: 0.543 0.187 0.349
Sm: 0.174 0.855 0.430
Sm: 0.893 0.365 0.928
Sm: 0.107 0.635 0.072
Sm: 0.826 0.145 0.570
Sm: 0.836 0.919 0.217
Sm: 0.673 0.093 0.785
Sm: 0.245 0.328 0.135
Sm: 0.457 0.813 0.651
Sm: 0.337 0.159 0.576
Sm: 0.379 0.365 0.926
Th: 0.749 0.317 0.148
Th: 0.966 0.859 0.619
Th: 0.034 0.141 0.381
Th: 0.251 0.683 0.852

N(E_F): 34.65 states/eV per cell
total moment: 0.0 μB per formula unit
E_form: 191 meV per atom
space-group type: P-1

***

The following is a DFT calculation (PBE) of an optimized crystal structure of LiCdIr2.

Cell lengths 3.929, 2.792, 6.316 Å; angles 63.93, 90.00, 90.00 degrees
Fractional coordinates of all 4 atoms:
Cd: 0.500 0.765 0.733
Ir: 0.000 0.960 0.040
Ir: 0.500 0.267 0.235
Li: 0.000 0.508 0.492

N(E_F): 3.96 states/eV per cell
total moment: 0.0 μB per formula unit
E_form: 3 meV per atom
space-group type: Pm

***

no.,theoretical density (g/cm³)
1,8.40
2,7.96
3,13.44